First-principles (PBE) data for crystalline LaRe at its relaxed geometry, as listed in Alexandria.

a b c (Å): 8.385 8.385 4.940
angles (deg): 90.00 90.00 120.00
Element x y z (fractional)
1 La 0.174 0.347 0.250
2 La 0.174 0.826 0.250
3 La 0.347 0.174 0.750
4 La 0.653 0.826 0.250
5 La 0.826 0.174 0.750
6 La 0.826 0.653 0.750
7 Re 0.132 0.566 0.750
8 Re 0.434 0.566 0.750
9 Re 0.434 0.868 0.750
10 Re 0.566 0.132 0.250
11 Re 0.566 0.434 0.250
12 Re 0.868 0.434 0.250

Computed properties:
- Energy: -0.311 hartree per atom
- ΔH_f (0 K): 232 meV/atom
- Crystal system: hexagonal
- Relative energy among the computed polymorphs: 81 meV per atom
- Density: 10.8 g/cm3
- SG: P6_3/mmc, No. 194
- M_tot: 0.00 μB/f.u.


First-principles (PBE) data for crystalline LiNdSm2Se5 at its relaxed geometry, as listed in Alexandria.

a b c (Å): 8.927 8.927 12.541
angles (deg): 90.00 90.00 153.11
Element x y z (fractional)
1 Li 0.012 0.988 0.500
2 Li 0.988 0.012 0.000
3 Nd 0.305 0.695 0.016
4 Nd 0.695 0.305 0.516
5 Sm 0.378 0.622 0.312
6 Sm 0.391 0.609 0.701
7 Sm 0.609 0.391 0.201
8 Sm 0.622 0.378 0.812
9 Se 0.002 0.998 0.303
10 Se 0.136 0.864 0.016
11 Se 0.191 0.809 0.351
12 Se 0.211 0.789 0.682
13 Se 0.457 0.543 0.093
14 Se 0.543 0.457 0.593
15 Se 0.789 0.211 0.182
16 Se 0.809 0.191 0.851
17 Se 0.864 0.136 0.516
18 Se 0.998 0.002 0.803

Computed properties:
- Energy: -0.200 hartree per atom
- Crystal system: orthorhombic
- Density: 6.2 g/cm3
- SG: Cmc2_1, No. 36
- M_tot: 0.00 μB/f.u.
- Energy relative to the elements, uncorrected: -15.39 eV per formula unit